Record 1
HoScCuHg: optimized geometry, PBE.

Cell and atoms, written as POSCAR:
```
HoScCuHg
1.0
3.408 0.000 0.000
0.000 3.408 0.000
0.000 0.000 7.318
Ho Sc Cu Hg
1 1 1 1
Direct
0.000 0.000 0.833 Ho
0.000 0.000 0.384 Sc
0.500 0.500 0.584 Cu
0.500 0.500 0.127 Hg
```

Calculated values
**Energy of formation from the pure elements**: -1.40 eV/f.u.
**Energy above the most stable polymorph in this dataset**: 0.000 eV per atom
**Uncorrected energy**: -4.1765 eV per atom

***

Record 2
MgZrZn: optimized geometry, PBE.

Cell and atoms, written as POSCAR:
```
MgZrZn
1.0
-3.502 2.865 1.036
2.558 -1.862 3.397
1.964 2.450 -0.136
Mg Zn Zr
1 1 1
Direct
0.000 0.000 0.166 Mg
0.333 0.667 0.167 Zn
0.667 0.333 0.666 Zr
```

Calculated values
**Energy of formation from the pure elements**: -0.16 eV/f.u.
**Uncorrected energy**: -3.8596 eV per atom

***

Record 3
TbSb3Rh5: optimized geometry, PBE.

Cell and atoms, written as POSCAR:
```
TbSb3Rh5
1.0
3.987 0.000 0.000
-1.994 6.938 0.000
0.000 0.000 13.211
Tb Sb Rh
2 6 10
Direct
0.911 0.822 0.750 Tb
0.089 0.178 0.250 Tb
0.379 0.757 0.958 Sb
0.866 0.733 0.250 Sb
0.379 0.757 0.542 Sb
0.621 0.243 0.458 Sb
0.134 0.267 0.750 Sb
0.621 0.243 0.042 Sb
0.804 0.607 0.434 Rh
0.196 0.393 0.934 Rh
0.000 0.000 0.500 Rh
0.000 0.000 0.000 Rh
0.456 0.913 0.146 Rh
0.544 0.087 0.854 Rh
0.544 0.087 0.646 Rh
0.804 0.607 0.066 Rh
0.196 0.393 0.566 Rh
0.456 0.913 0.354 Rh
```

Calculated values
**Uncorrected energy**: -6.4730 eV per atom
**ΔE_f (raw)**: -500 meV per atom

***

Record 4
K2CaSb: optimized geometry, PBE.

Cell and atoms, written as POSCAR:
```
K2CaSb
1.0
-0.325 5.511 4.794
-4.643 5.348 -1.815
0.287 -7.193 1.277
Ca K Sb
1 2 1
Direct
0.323 0.823 0.500 Ca
0.007 0.007 0.000 K
0.696 0.196 0.500 K
0.475 0.475 0.000 Sb
```

Calculated values
**Uncorrected energy**: -2.3675 eV per atom
**ΔE_f (raw)**: -288 meV per atom

***

Record 5
La5Ce2Ru4: optimized geometry, PBE.

Cell and atoms, written as POSCAR:
```
La5Ce2Ru4
1.0
-2.215 -3.058 -0.197
4.614 -2.997 -5.370
6.851 -3.141 8.009
La Ce Ru
5 2 4
Direct
0.165 0.857 0.330 La
0.835 0.143 0.670 La
0.214 0.363 0.427 La
0.500 0.000 0.000 La
0.786 0.637 0.573 La
0.931 0.601 0.862 Ce
0.069 0.399 0.138 Ce
0.628 0.615 0.255 Ru
0.030 0.736 0.060 Ru
0.372 0.385 0.745 Ru
0.970 0.264 0.940 Ru
```

Calculated values
**Energy of formation from the pure elements**: -1.01 eV/f.u.
**Energy above the most stable polymorph in this dataset**: 0.097 eV per atom
**Uncorrected energy**: -6.7831 eV per atom

***

Record 6
TiCuTe3: optimized geometry, PBE.

Cell and atoms, written as POSCAR:
```
TiCuTe3
1.0
-1.308 3.016 2.052
-0.771 -3.732 4.992
10.703 5.526 -1.301
Ti Cu Te
2 2 6
Direct
0.250 0.164 0.154 Ti
0.750 0.836 0.846 Ti
0.250 0.052 0.577 Cu
0.750 0.948 0.423 Cu
0.250 0.194 0.932 Te
0.750 0.806 0.068 Te
0.250 0.194 0.397 Te
0.750 0.806 0.603 Te
0.250 0.492 0.758 Te
0.750 0.508 0.242 Te
```

Calculated values
**Energy above the most stable polymorph in this dataset**: 0.000 eV per atom
**Uncorrected energy**: -4.6391 eV per atom
**ΔE_f (raw)**: -356 meV per atom

***

Record 7
Tl4AgSn3Cl12: optimized geometry, PBE.

Cell and atoms, written as POSCAR:
```
Tl4AgSn3Cl12
1.0
9.393 0.000 0.000
-3.131 8.856 0.000
-3.131 -4.428 7.669
Tl Ag Sn Cl
4 1 3 12
Direct
0.500 0.500 0.500 Tl
0.000 0.000 0.500 Tl
0.500 0.000 0.000 Tl
0.000 0.500 0.000 Tl
0.000 0.000 0.000 Ag
0.500 0.000 0.500 Sn
0.500 0.500 0.000 Sn
0.000 0.500 0.500 Sn
0.250 0.500 0.750 Cl
0.750 0.000 0.750 Cl
0.250 0.000 0.250 Cl
0.750 0.500 0.250 Cl
0.750 0.750 0.000 Cl
0.250 0.250 0.000 Cl
0.750 0.250 0.500 Cl
0.250 0.750 0.500 Cl
0.500 0.250 0.750 Cl
0.000 0.750 0.750 Cl
0.500 0.750 0.250 Cl
0.000 0.250 0.250 Cl
```

Calculated values
**Uncorrected energy**: -3.2259 eV per atom
**ΔE_f (raw)**: -902 meV per atom

***

Record 8
YCrCl2: optimized geometry, PBE.

Cell and atoms, written as POSCAR:
```
YCrCl2
1.0
5.082 0.001 0.000
0.866 5.008 0.000
-2.974 -2.504 3.273
Y Cr Cl
1 1 2
Direct
0.750 0.250 0.500 Y
0.250 0.750 0.500 Cr
0.000 0.000 0.000 Cl
0.500 0.500 0.000 Cl
```

Calculated values
**Energy above the most stable polymorph in this dataset**: 0.342 eV per atom
**Uncorrected energy**: -5.4221 eV per atom
**ΔE_f (raw)**: -477 meV per atom

***

Record 9
Dy2Tm8Cd: optimized geometry, PBE.

Cell and atoms, written as POSCAR:
```
Dy2Tm8Cd
1.0
-5.264 -1.231 -0.824
1.337 -1.778 -5.889
4.421 -8.510 2.622
Dy Tm Cd
2 8 1
Direct
0.756 0.332 0.513 Dy
0.244 0.668 0.487 Dy
0.422 0.599 0.844 Tm
0.660 0.874 0.320 Tm
0.846 0.804 0.692 Tm
0.955 0.266 0.909 Tm
0.154 0.196 0.308 Tm
0.340 0.126 0.680 Tm
0.578 0.401 0.156 Tm
0.045 0.734 0.091 Tm
0.500 0.000 0.000 Cd
```

Calculated values
**Energy of formation from the pure elements**: -0.15 eV/f.u.
**Uncorrected energy**: -4.1856 eV per atom

***

Record 10
Li2LaErTe4: optimized geometry, PBE.

Cell and atoms, written as POSCAR:
```
Li2LaErTe4
1.0
-1.479 1.114 -4.031
6.910 -1.595 -2.976
-4.309 -6.146 -0.117
Li La Er Te
2 1 1 4
Direct
0.500 0.000 0.500 Li
0.000 0.500 0.500 Li
0.000 0.000 0.000 La
0.500 0.500 0.000 Er
0.500 0.266 0.262 Te
0.500 0.734 0.738 Te
0.000 0.260 0.745 Te
0.000 0.740 0.255 Te
```

Calculated values
**Uncorrected energy**: -4.5526 eV per atom
**ΔE_f (raw)**: -1317 meV per atom

***

Record 11
TiTe6O12: optimized geometry, PBE.

Cell and atoms, written as POSCAR:
```
TiTe6O12
1.0
-3.812 -7.965 -3.061
6.489 -0.887 6.667
-5.859 7.220 0.951
Ti Te O
1 6 12
Direct
0.000 0.000 0.000 Ti
0.141 0.240 0.431 Te
0.760 0.569 0.859 Te
0.569 0.859 0.760 Te
0.859 0.760 0.569 Te
0.240 0.431 0.141 Te
0.431 0.141 0.240 Te
0.610 0.272 0.561 O
0.272 0.561 0.610 O
0.561 0.610 0.272 O
0.390 0.728 0.439 O
0.728 0.439 0.390 O
0.439 0.390 0.728 O
0.080 0.906 0.586 O
0.414 0.920 0.094 O
0.094 0.414 0.920 O
0.920 0.094 0.414 O
0.586 0.080 0.906 O
0.906 0.586 0.080 O
```

Calculated values
**Uncorrected energy**: -5.0356 eV per atom
**ΔE_f (raw)**: -496 meV per atom

***

Record 12
Pa5PSe4: optimized geometry, PBE.

Cell and atoms, written as POSCAR:
```
Pa5PSe4
1.0
4.011 0.000 -0.565
-0.080 4.010 -0.565
0.015 0.015 14.616
Pa P Se
5 1 4
Direct
0.096 0.096 0.193 Pa
0.500 0.500 0.000 Pa
0.904 0.904 0.807 Pa
0.299 0.299 0.598 Pa
0.701 0.701 0.402 Pa
0.000 0.000 0.000 P
0.400 0.400 0.799 Se
0.802 0.802 0.604 Se
0.198 0.198 0.396 Se
0.600 0.600 0.201 Se
```

Calculated values
**Uncorrected energy**: -7.9106 eV per atom
**ΔE_f (raw)**: -1228 meV per atom

***

Record 13
PrMgSb2O6: optimized geometry, PBE.

Cell and atoms, written as POSCAR:
```
PrMgSb2O6
1.0
5.699 0.000 0.000
0.000 6.306 0.000
0.000 0.000 7.974
Pr Mg Sb O
2 2 4 12
Direct
0.018 0.671 0.000 Pr
0.518 0.329 0.500 Pr
0.514 0.216 0.000 Mg
0.014 0.784 0.500 Mg
0.017 0.219 0.246 Sb
0.017 0.219 0.754 Sb
0.517 0.781 0.746 Sb
0.517 0.781 0.254 Sb
0.145 0.141 0.500 O
0.151 0.939 0.186 O
0.151 0.939 0.814 O
0.319 0.379 0.817 O
0.319 0.379 0.183 O
0.359 0.694 0.500 O
0.645 0.859 0.000 O
0.651 0.061 0.314 O
0.651 0.061 0.686 O
0.819 0.621 0.317 O
0.819 0.621 0.683 O
0.859 0.306 0.000 O
```

Calculated values
**Uncorrected energy**: -6.3633 eV per atom
**ΔE_f (raw)**: -1926 meV per atom

***

Record 14
AcScTc: optimized geometry, PBE.

Cell and atoms, written as POSCAR:
```
AcScTc
1.0
5.200 2.865 1.394
2.839 5.214 1.394
-2.646 -2.659 7.768
Tc Sc Ac
2 2 2
Direct
0.084 0.084 0.104 Tc
0.916 0.916 0.896 Tc
0.115 0.115 0.397 Sc
0.885 0.885 0.603 Sc
0.173 0.173 0.805 Ac
0.827 0.827 0.195 Ac
```

Calculated values
**Energy of formation from the pure elements**: 1.44 eV/f.u.
**Uncorrected energy**: -6.4563 eV per atom

***

Record 15
Ca2PrHfAs4: optimized geometry, PBE.

Cell and atoms, written as POSCAR:
```
Ca2PrHfAs4
1.0
-1.083 1.160 3.793
-0.062 -6.853 2.078
6.680 2.726 1.073
Ca Pr Hf As
2 1 1 4
Direct
0.500 0.000 0.500 Ca
0.000 0.500 0.500 Ca
0.500 0.500 0.000 Pr
0.000 0.000 0.000 Hf
0.500 0.224 0.227 As
0.500 0.776 0.773 As
0.000 0.232 0.762 As
0.000 0.768 0.238 As
```

Calculated values
**Energy of formation from the pure elements**: -9.13 eV/f.u.
**Uncorrected energy**: -5.8078 eV per atom

***

Record 16
K2ZrFe: optimized geometry, PBE.

Cell and atoms, written as POSCAR:
```
K2ZrFe
1.0
12.912 -0.019 -0.011
12.526 3.133 -0.011
12.526 1.534 2.732
Fe K Zr
1 2 1
Direct
0.750 0.750 0.750 Fe
0.008 0.008 0.008 K
0.492 0.492 0.492 K
0.250 0.250 0.250 Zr
```

Calculated values
**Energy of formation from the pure elements**: 4.56 eV/f.u.
**Energy above the most stable polymorph in this dataset**: 0.586 eV per atom
**Uncorrected energy**: -3.6626 eV per atom

***

Record 17
BaCaBeO3: optimized geometry, PBE.

Cell and atoms, written as POSCAR:
```
BaCaBeO3
1.0
-0.768 -3.998 -0.858
5.760 1.574 -2.406
1.201 -1.699 6.837
Ba Ca Be O
2 2 2 6
Direct
0.353 0.707 0.922 Ba
0.647 0.293 0.078 Ba
0.642 0.285 0.569 Ca
0.358 0.715 0.431 Ca
0.006 0.012 0.283 Be
0.994 0.988 0.717 Be
0.870 0.740 0.207 O
0.856 0.712 0.664 O
0.504 0.007 0.286 O
0.144 0.288 0.336 O
0.496 0.993 0.714 O
0.130 0.260 0.793 O
```

Calculated values
**Uncorrected energy**: -6.1287 eV per atom
**ΔE_f (raw)**: -2375 meV per atom

***

Record 18
K2Li3TcO6: optimized geometry, PBE.

Cell and atoms, written as POSCAR:
```
K2Li3TcO6
1.0
-0.533 -1.592 6.359
-4.599 -0.462 -4.679
3.061 -3.757 -1.512
K Li Tc O
2 3 1 6
Direct
0.319 0.681 0.000 K
0.681 0.319 0.000 K
0.101 0.899 0.500 Li
0.899 0.101 0.500 Li
0.500 0.500 0.500 Li
0.000 0.000 0.000 Tc
0.918 0.690 0.748 O
0.784 0.784 0.211 O
0.082 0.310 0.252 O
0.690 0.918 0.748 O
0.216 0.216 0.789 O
0.310 0.082 0.252 O
```

Calculated values
**Uncorrected energy**: -5.6241 eV per atom
**ΔE_f (raw)**: -1620 meV per atom

***

Record 19
Sr2CrC2N6: optimized geometry, PBE.

Cell and atoms, written as POSCAR:
```
Sr2CrC2N6
1.0
5.136 0.000 0.000
-2.568 4.460 -0.176
0.000 -2.732 5.472
Sr Cr C N
2 1 2 6
Direct
0.716 0.433 0.155 Sr
0.284 0.567 0.845 Sr
0.500 0.000 0.500 Cr
0.904 0.808 0.707 C
0.096 0.192 0.293 C
0.753 0.506 0.708 N
0.242 0.028 0.278 N
0.214 0.972 0.722 N
0.758 0.972 0.722 N
0.786 0.028 0.278 N
0.247 0.494 0.292 N
```

Calculated values
**Uncorrected energy**: -7.6742 eV per atom
**ΔE_f (raw)**: -275 meV per atom

***

Record 20
AcMg4Zn: optimized geometry, PBE.

Cell and atoms, written as POSCAR:
```
AcMg4Zn
1.0
6.093 0.000 0.000
3.047 5.277 0.000
3.047 1.759 4.975
Mg Ac Zn
4 1 1
Direct
0.625 0.625 0.124 Mg
0.625 0.124 0.625 Mg
0.625 0.625 0.625 Mg
0.124 0.625 0.625 Mg
0.250 0.250 0.250 Ac
0.000 0.000 0.000 Zn
```

Calculated values
**Energy of formation from the pure elements**: 0.47 eV/f.u.
**Energy above the most stable polymorph in this dataset**: 0.203 eV per atom
**Uncorrected energy**: -1.8818 eV per atom